(P)
The following is a DFT calculation (PBE-GGA) of a geometry-optimized TbTmNi structure.

abc: 6.6664 6.6664 6.6664
angles: 90.00 90.00 90.00
Last column: nearest neighbours and their distance in Å.
Fractional positions:
Tb (0.0000, 0.0000, 0.0000)  4 Ni 2.89
Tb (0.0000, 0.5000, 0.5000)  4 Ni 2.89
Tb (0.5000, 0.0000, 0.5000)  4 Ni 2.89
Tb (0.5000, 0.5000, 0.0000)  4 Ni 2.89
Tm (0.0000, 0.0000, 0.5000)  4 Ni 2.89
Tm (0.0000, 0.5000, 0.0000)  4 Ni 2.89
Tm (0.5000, 0.0000, 0.0000)  4 Ni 2.89
Tm (0.5000, 0.5000, 0.5000)  4 Ni 2.89
Ni (0.2500, 0.2500, 0.2500)  4 Tb 2.89, 4 Tm 2.89
Ni (0.2500, 0.7500, 0.7500)  4 Tb 2.89, 4 Tm 2.89
Ni (0.7500, 0.2500, 0.7500)  4 Tb 2.89, 4 Tm 2.89
Ni (0.7500, 0.7500, 0.2500)  4 Tb 2.89, 4 Tm 2.89

- volume (A^3/atom) = 24.688

***

(Q)
The following is a DFT calculation (PBE-GGA) of a geometry-optimized TbTmNi structure.

abc: 12.1894 3.6087 7.9488
angles: 90.00 125.53 90.00
Last column: nearest neighbours and their distance in Å.
Fractional positions:
Tb (0.1644, 0.0000, 0.0741)  3 Ni 2.80-2.85
Tb (0.3356, 0.5000, 0.9259)  3 Ni 2.80-2.85
Tb (0.6644, 0.5000, 0.0741)  3 Ni 2.80-2.85
Tb (0.8356, 0.0000, 0.9259)  3 Ni 2.80-2.85
Tm (0.0873, 0.5000, 0.3910)  4 Ni 2.77-2.91
Tm (0.4127, 0.0000, 0.6090)  4 Ni 2.77-2.91
Tm (0.5873, 0.0000, 0.3910)  4 Ni 2.77-2.91
Tm (0.9127, 0.5000, 0.6090)  4 Ni 2.77-2.91
Ni (0.1236, 0.0000, 0.6831)  1 Ni 2.71, 4 Tm 2.77-2.91, 3 Tb 2.80-2.85
Ni (0.3764, 0.5000, 0.3169)  1 Ni 2.71, 4 Tm 2.77-2.91, 3 Tb 2.80-2.85
Ni (0.6236, 0.5000, 0.6831)  1 Ni 2.71, 4 Tm 2.77-2.91, 3 Tb 2.80-2.85
Ni (0.8764, 0.0000, 0.3169)  1 Ni 2.71, 4 Tm 2.77-2.91, 3 Tb 2.80-2.85

- volume (A^3/atom) = 23.713

***

On energetic grounds, (Q) is preferred over the next structure by 138 meV per atom.

***

(P)
The following is a DFT calculation (PBE-GGA) of a geometry-optimized TbTm3Ni structure.

abc: 5.2348 5.2348 5.2348
angles: 90.00 90.00 90.00
Last column: nearest neighbours and their distance in Å.
Fractional positions:
Tb (0.0000, 0.0000, 0.0000)  12 Tm 3.70
Tm (0.0000, 0.5000, 0.5000)  2 Ni 2.62
Tm (0.5000, 0.0000, 0.5000)  2 Ni 2.62
Tm (0.5000, 0.5000, 0.0000)  2 Ni 2.62
Ni (0.5000, 0.5000, 0.5000)  6 Tm 2.62

- volume (A^3/atom) = 28.691

***

(Q)
The following is a DFT calculation (PBE-GGA) of a geometry-optimized TbTm3Ni structure.

abc: 7.8446 7.0838 9.8328
angles: 90.00 107.06 90.00
Last column: nearest neighbours and their distance in Å.
Fractional positions:
Tb (0.1851, 0.0406, 0.2588)  9 Tm 3.22-3.54, 2 Ni 3.27-3.44
Tb (0.1851, 0.4594, 0.7588)  9 Tm 3.22-3.54, 2 Ni 3.27-3.44
Tb (0.8149, 0.5406, 0.2412)  9 Tm 3.22-3.54, 2 Ni 3.27-3.44
Tb (0.8149, 0.9594, 0.7412)  9 Tm 3.22-3.54, 2 Ni 3.27-3.44
Tm (0.0671, 0.7086, 0.0266)  1 Ni 2.79
Tm (0.0671, 0.7914, 0.5266)  1 Ni 2.79
Tm (0.2834, 0.5102, 0.3785)  2 Ni 2.75-2.80
Tm (0.2834, 0.9898, 0.8785)  2 Ni 2.75-2.80
Tm (0.4146, 0.1300, 0.6061)  3 Ni 2.76-2.83
Tm (0.4146, 0.3700, 0.1061)  3 Ni 2.76-2.83
Tm (0.5854, 0.6300, 0.8939)  3 Ni 2.76-2.83
Tm (0.5854, 0.8700, 0.3939)  3 Ni 2.76-2.83
Tm (0.7166, 0.0102, 0.1215)  2 Ni 2.75-2.80
Tm (0.7166, 0.4898, 0.6215)  2 Ni 2.75-2.80
Tm (0.9329, 0.2086, 0.4734)  1 Ni 2.79
Tm (0.9329, 0.2914, 0.9734)  1 Ni 2.79
Ni (0.4362, 0.7406, 0.6068)  6 Tm 2.75-2.83
Ni (0.4362, 0.7594, 0.1068)  6 Tm 2.75-2.83
Ni (0.5638, 0.2406, 0.8932)  6 Tm 2.75-2.83
Ni (0.5638, 0.2594, 0.3932)  6 Tm 2.75-2.83

- volume (A^3/atom) = 26.118

***

On energetic grounds, (Q) is preferred over the next structure by 54 meV per atom.

***

(P)
The following is a DFT calculation (PBE-GGA) of a geometry-optimized Tb2TmNi2 structure.

abc: 6.3321 6.3321 7.1142
angles: 99.75 99.75 54.14
Last column: nearest neighbours and their distance in Å.
Fractional positions:
Tb (0.0488, 0.2678, 0.1534)  4 Ni 2.84-2.93
Tb (0.2678, 0.0488, 0.6534)  4 Ni 2.84-2.93
Tb (0.7322, 0.9512, 0.3466)  4 Ni 2.84-2.93
Tb (0.9512, 0.7322, 0.8466)  4 Ni 2.84-2.93
Tm (0.4108, 0.5892, 0.2500)  4 Ni 2.68-2.72
Tm (0.5892, 0.4108, 0.7500)  4 Ni 2.68-2.72
Ni (0.2013, 0.4775, 0.4891)  1 Ni 2.42, 1 Tm 2.68
Ni (0.4775, 0.2013, 0.9891)  1 Ni 2.42, 1 Tm 2.68
Ni (0.5225, 0.7987, 0.0109)  1 Ni 2.42, 1 Tm 2.68
Ni (0.7987, 0.5225, 0.5109)  1 Ni 2.42, 1 Tm 2.68

- volume (A^3/atom) = 22.697

***

(Q)
The following is a DFT calculation (PBE-GGA) of a geometry-optimized Tb2TmNi2 structure.

abc: 11.3955 3.7781 5.5743
angles: 90.00 107.34 90.00
Last column: nearest neighbours and their distance in Å.
Fractional positions:
Tb (0.1529, 0.0000, 0.1071)  4 Ni 2.70-2.88
Tb (0.3471, 0.5000, 0.8929)  4 Ni 2.70-2.88
Tb (0.6529, 0.5000, 0.1071)  4 Ni 2.70-2.88
Tb (0.8471, 0.0000, 0.8929)  4 Ni 2.70-2.88
Tm (0.0000, 0.5000, 0.5000)  4 Ni 2.83
Tm (0.5000, 0.0000, 0.5000)  4 Ni 2.83
Ni (0.1942, 0.0000, 0.6221)  4 Tb 2.70-2.88, 2 Tm 2.83, 2 Ni 2.84
Ni (0.3058, 0.5000, 0.3779)  4 Tb 2.70-2.88, 2 Tm 2.83, 2 Ni 2.84
Ni (0.6942, 0.5000, 0.6221)  4 Tb 2.70-2.88, 2 Tm 2.83, 2 Ni 2.84
Ni (0.8058, 0.0000, 0.3779)  4 Tb 2.70-2.88, 2 Tm 2.83, 2 Ni 2.84

- volume (A^3/atom) = 22.908

***

On energetic grounds, (P) is preferred over the next structure by 103 meV per atom.

***

(P)
The following is a DFT calculation (PBE-GGA) of a geometry-optimized TbY3Ni structure.

abc: 5.3319 5.3319 5.3319
angles: 90.00 90.00 90.00
Last column: nearest neighbours and their distance in Å.
Fractional positions:
Tb (0.0000, 0.0000, 0.0000)  12 Y 3.77
Y (0.0000, 0.5000, 0.5000)  2 Ni 2.67
Y (0.5000, 0.0000, 0.5000)  2 Ni 2.67
Y (0.5000, 0.5000, 0.0000)  2 Ni 2.67
Ni (0.5000, 0.5000, 0.5000)  6 Y 2.67

- volume (A^3/atom) = 30.317

***

(Q)
The following is a DFT calculation (PBE-GGA) of a geometry-optimized TbY3Ni structure.

abc: 7.2015 7.2015 8.0813
angles: 123.99 123.99 72.39
Last column: nearest neighbours and their distance in Å.
Fractional positions:
Tb (0.0493, 0.0493, 0.3389)  1 Ni 2.59
Tb (0.9507, 0.9507, 0.6611)  1 Ni 2.59
Y (0.0468, 0.4478, 0.2086)  1 Ni 2.64
Y (0.4478, 0.0468, 0.2086)  1 Ni 2.64
Y (0.4511, 0.4511, 0.7390)  1 Ni 2.62
Y (0.5489, 0.5489, 0.2610)  1 Ni 2.62
Y (0.5522, 0.9532, 0.7914)  1 Ni 2.64
Y (0.9532, 0.5522, 0.7914)  1 Ni 2.64
Ni (0.2486, 0.2486, 0.8709)  1 Tb 2.59, 3 Y 2.62-2.64
Ni (0.7514, 0.7514, 0.1291)  1 Tb 2.59, 3 Y 2.62-2.64

- volume (A^3/atom) = 28.809

***

On energetic grounds, (Q) is preferred over the next structure by 76 meV per atom.

***

(P)
The following is a DFT calculation (PBE-GGA) of a geometry-optimized Tb8ZnNi2 structure.

abc: 9.1723 9.1723 6.7064
angles: 107.70 107.70 32.04
Last column: nearest neighbours and their distance in Å.
Fractional positions:
Tb (0.0349, 0.0349, 0.2843)  1 Ni 2.65
Tb (0.1977, 0.1977, 0.8381)  1 Ni 2.72
Tb (0.3222, 0.3222, 0.5038)  1 Ni 2.68
Tb (0.4053, 0.4053, 0.0255)  1 Zn 3.09, 2 Ni 3.11, 3 Tb 3.34-3.40
Tb (0.5947, 0.5947, 0.9745)  1 Zn 3.09, 2 Ni 3.11, 3 Tb 3.34-3.40
Tb (0.6778, 0.6778, 0.4962)  1 Ni 2.68
Tb (0.8023, 0.8023, 0.1619)  1 Ni 2.72
Tb (0.9651, 0.9651, 0.7157)  1 Ni 2.65
Zn (0.5000, 0.5000, 0.5000)  8 Tb 3.07-3.14
Ni (0.1757, 0.1757, 0.2213)  3 Tb 2.65-2.72
Ni (0.8243, 0.8243, 0.7787)  3 Tb 2.65-2.72

- volume (A^3/atom) = 25.818

***

(Q)
The following is a DFT calculation (PBE-GGA) of a geometry-optimized Tb8ZnNi2 structure.

abc: 7.8243 7.8243 5.4539
angles: 97.90 97.90 114.85
Last column: nearest neighbours and their distance in Å.
Fractional positions:
Tb (0.0000, 0.0000, 0.0000)  2 Ni 3.12, 1 Zn 3.13, 4 Tb 3.21-3.45
Tb (0.0490, 0.3052, 0.6086)  2 Ni 2.78-2.85
Tb (0.1424, 0.6235, 0.1906)  2 Ni 2.85, 1 Zn 3.17
Tb (0.3052, 0.0490, 0.6086)  2 Ni 2.78-2.85
Tb (0.4608, 0.7170, 0.7728)  2 Ni 2.78-2.85
Tb (0.6235, 0.1424, 0.1906)  2 Ni 2.85, 1 Zn 3.17
Tb (0.7170, 0.4608, 0.7728)  2 Ni 2.78-2.85
Tb (0.7660, 0.7660, 0.3811)  2 Ni 3.12, 1 Zn 3.13, 4 Tb 3.21-3.45
Zn (0.3834, 0.3834, 0.1867)  4 Tb 3.13-3.17
Ni (0.0804, 0.6859, 0.6908)  6 Tb 2.78-2.85
Ni (0.6859, 0.0804, 0.6908)  6 Tb 2.78-2.85

- volume (A^3/atom) = 26.629

***

On energetic grounds, (P) is preferred over the next structure by 105 meV per atom.